No. 1
The following is a DFT calculation (PBEsol) of a relaxed Hf5Al3N crystal.

## Properties
Mass density in kg/m3: 10549
VASP energy in eV/f.u.: -79.81
Energy relative to the elements, uncorrected in eV per formula unit: -6.496

Cell: 5.5620 8.0334 8.0334 Å, 120.00 90.00 90.00°
With the nearest neighbours (Å) after each atom.
Fractional coordinates of all 18 atoms:
Hf 0.5000 0.6667 0.3333  2 Hf 2.78, 6 Al 2.81
Hf 0.5000 0.3333 0.6667  2 Hf 2.78, 6 Al 2.81
Hf 0.2500 0.0000 0.7761  2 N 2.27
Hf 0.2500 0.7761 0.0000  2 N 2.27
Hf 0.2500 0.2239 0.2239  2 N 2.27
Hf 0.0000 0.6667 0.3333  2 Hf 2.78, 6 Al 2.81
Hf 0.0000 0.3333 0.6667  2 Hf 2.78, 6 Al 2.81
Hf 0.7500 0.0000 0.2239  2 N 2.27
Hf 0.7500 0.2239 0.0000  2 N 2.27
Hf 0.7500 0.7761 0.7761  2 N 2.27
Al 0.2500 0.0000 0.4031  9 Hf 2.81-3.13
Al 0.2500 0.4031 0.0000  9 Hf 2.81-3.13
Al 0.2500 0.5969 0.5969  9 Hf 2.81-3.13
Al 0.7500 0.0000 0.5969  9 Hf 2.81-3.13
Al 0.7500 0.5969 0.0000  9 Hf 2.81-3.13
Al 0.7500 0.4031 0.4031  9 Hf 2.81-3.13
N 0.5000 0.0000 0.0000  6 Hf 2.27
N 0.0000 0.0000 0.0000  6 Hf 2.27



No. 2
The following is a DFT calculation (PBEsol) of a relaxed Hf2AlN crystal.

## Properties
Mass density in kg/m3: 9665
VASP energy in eV/f.u.: -36.11
Energy relative to the elements, uncorrected in eV per formula unit: -2.482

Cell: 5.6219 5.6219 5.6219 Å, 108.40 110.01 110.01°
With the nearest neighbours (Å) after each atom.
Fractional coordinates of all 8 atoms:
Hf 0.0892 0.8750 0.4642  2 N 2.09
Hf 0.9108 0.3750 0.7858  2 N 2.09
Hf 0.4108 0.5358 0.6250  2 N 2.09
Hf 0.5892 0.2142 0.1250  2 N 2.09
Al 0.0000 0.0000 0.0000  8 Hf 2.84-3.12
Al 0.5000 0.7500 0.2500  8 Hf 2.84-3.12
N 0.0000 0.5000 0.5000  4 Hf 2.09
N 0.5000 0.2500 0.7500  4 Hf 2.09